1.
Material: Fe2TcCl
Method: DFT, PBE-GGA
State: relaxed

Computed properties:
space-group type	Cmmm
formation energy (no corrections)	0.37	eV per atom
calculated density	7.07	Mg/m³
energy above the most stable polymorph in this dataset	41.1	kJ/mol of formula units

Unit cell a=2.805 b=2.805 c=8.029 alpha=90.00 beta=90.00 gamma=114.19
Site moments in Bohr magnetons follow the coordinates.
Fractional coordinates of all 4 atoms:
Cl 0.500 0.500 0.750  0.12
Tc 0.500 0.500 0.250  0.16
Fe 0.000 0.000 0.999  2.83
Fe 0.000 0.000 0.501  2.83

2.
Material: FeTcCl
Method: DFT, PBE-GGA
State: relaxed

Computed properties:
space-group type	I4mm
formation energy (no corrections)	0.43	eV per atom
calculated density	7.14	Mg/m³
energy above the most stable polymorph in this dataset	34.5	kJ/mol of formula units

Unit cell a=5.739 b=5.739 c=5.739 alpha=151.11 beta=151.11 gamma=41.31
Site moments in Bohr magnetons follow the coordinates.
Fractional coordinates of all 3 atoms:
Cl 0.006 0.006 0.000  -0.01
Tc 0.679 0.679 0.000  -0.43
Fe 0.316 0.316 0.000  1.89

3.
Material: FeTcCl
Method: DFT, PBE-GGA
State: relaxed

Computed properties:
space-group type	F-43m
formation energy (no corrections)	0.82	eV per atom
calculated density	6.54	Mg/m³
energy above the most stable polymorph in this dataset	145.8	kJ/mol of formula units

Unit cell a=4.082 b=4.082 c=4.082 alpha=60.00 beta=60.00 gamma=60.00
Site moments in Bohr magnetons follow the coordinates.
Fractional coordinates of all 3 atoms:
Cl 0.000 0.000 0.000  0.03
Tc 0.750 0.750 0.750  -0.23
Fe 0.500 0.500 0.500  2.09

4.
Material: Fe2TcCl
Method: DFT, PBE-GGA
State: relaxed

Computed properties:
space-group type	P4/mmm
formation energy (no corrections)	0.34	eV per atom
calculated density	7.41	Mg/m³
energy above the most stable polymorph in this dataset	28.5	kJ/mol of formula units

Unit cell a=2.793 b=2.793 c=7.045 alpha=90.00 beta=90.00 gamma=90.00
Site moments in Bohr magnetons follow the coordinates.
Fractional coordinates of all 4 atoms:
Cl 0.500 0.500 0.750  0.11
Tc 0.500 0.500 0.250  -0.54
Fe 0.000 0.000 0.003  2.43
Fe 0.000 0.000 0.497  2.43

5.
Material: Fe2TcTeCl
Method: DFT, PBE-GGA
State: relaxed

Computed properties:
space-group type	P4/mmm
formation energy (no corrections)	1.17	eV per atom
calculated density	6.56	Mg/m³

Unit cell a=4.614 b=4.434 c=4.614 alpha=90.00 beta=90.00 gamma=90.00
Fractional coordinates of all 5 atoms:
Cl 0.000 0.500 0.000
Te 0.500 0.500 0.500
Tc 0.000 0.000 0.000
Fe 0.000 0.000 0.500
Fe 0.500 0.000 0.000

6.
Material: Th6Fe2TcCl3
Method: DFT, PBE-GGA
State: relaxed

Computed properties:
space-group type	C2/m
formation energy (no corrections)	-0.72	eV per atom
calculated density	8.70	Mg/m³

Unit cell a=4.164 b=8.981 c=9.635 alpha=111.50 beta=102.48 gamma=90.00
Fractional coordinates of all 12 atoms:
Th 0.343 0.877 0.685
Th 0.683 0.547 0.366
Th 0.657 0.123 0.315
Th 0.018 0.224 0.036
Th 0.982 0.776 0.964
Th 0.317 0.453 0.634
Fe 0.830 0.665 0.661
Fe 0.170 0.335 0.339
Tc 0.500 0.000 0.000
Cl 0.500 0.500 0.000
Cl 0.833 0.169 0.666
Cl 0.167 0.831 0.334

7.
Material: Th6FeTc2Cl3
Method: DFT, PBE-GGA
State: relaxed

Computed properties:
space-group type	C2/m
formation energy (no corrections)	-0.72	eV per atom
calculated density	8.72	Mg/m³

Unit cell a=4.111 b=9.032 c=9.843 alpha=110.61 beta=102.06 gamma=90.00
Fractional coordinates of all 12 atoms:
Th 0.351 0.889 0.702
Th 0.678 0.552 0.355
Th 0.649 0.111 0.298
Th 0.011 0.208 0.022
Th 0.989 0.792 0.978
Th 0.322 0.448 0.645
Fe 0.500 0.000 0.000
Tc 0.835 0.669 0.671
Tc 0.165 0.331 0.329
Cl 0.500 0.500 0.000
Cl 0.835 0.168 0.669
Cl 0.165 0.832 0.331

8.
Material: FeTeCl2
Method: DFT, PBE-GGA
State: relaxed

Computed properties:
space-group type	Imm2
formation energy (no corrections)	-0.22	eV per atom
calculated density	3.22	Mg/m³
energy above the most stable polymorph in this dataset	55.2	kJ/mol of formula units

Unit cell a=7.706 b=7.706 c=7.706 alpha=154.41 beta=138.19 gamma=49.67
Site moments in Bohr magnetons follow the coordinates.
Fractional coordinates of all 4 atoms:
Te 0.600 0.100 0.500  -0.10
Fe 0.465 0.465 0.000  2.65
Cl 0.082 0.082 0.000  -0.03
Cl 0.353 0.853 0.500  0.04

In order of appearance, E = -6.9104; -6.4569; -6.0724; -6.9431; -5.2816; -7.1644; -7.3231; -4.0447 eV/atom.